Entry 1:
! Rb2LiCdP2, optimized geometry, DFT PBE; values from VASP
! Formation energy from the elements ... -316 meV/atom
! Fermi-level density of states ... 10.1 states/eV/cell
! Density ... 3.539 g/cm³
&SYSTEM
  ibrav = 0, nat = 12, ntyp = 4
/
ATOMIC_SPECIES
Rb 85.47 Rb.upf
Li 6.94 Li.upf
Cd 112.41 Cd.upf
P 30.97 P.upf
ATOMIC_POSITIONS crystal
Rb 0.413 0.172 0.344
Rb 0.587 0.828 0.656
Rb 0.069 0.328 0.656
Rb 0.931 0.672 0.344
Li 0.000 0.750 0.000
Li 0.000 0.250 0.000
Cd 0.500 0.750 0.000
Cd 0.500 0.250 0.000
P 0.838 0.089 0.178
P 0.340 0.589 0.178
P 0.660 0.411 0.822
P 0.162 0.911 0.822
CELL_PARAMETERS angstrom
-4.992 3.170 -2.480
-1.841 -5.387 -3.179
-1.015 -1.029 9.018

***

Entry 2:
! LiYPb, optimized geometry, DFT PBE; values from VASP
! Formation energy from the elements ... -312 meV/atom
! Fermi-level density of states ... 0.3 states/eV/cell
! Density ... 6.392 g/cm³
&SYSTEM
  ibrav = 0, nat = 6, ntyp = 3
/
ATOMIC_SPECIES
Pb 207.20 Pb.upf
Y 88.91 Y.upf
Li 6.94 Li.upf
ATOMIC_POSITIONS crystal
Pb 0.448 0.382 0.288
Pb 0.818 0.003 0.730
Y 0.790 0.490 0.649
Y 0.478 0.896 0.367
Li 0.168 0.957 0.020
Li 0.099 0.412 0.992
CELL_PARAMETERS angstrom
-0.145 5.180 -0.405
-5.663 -1.042 -2.405
-0.934 2.790 4.748

***

Entry 3:
! LiPuOs2, optimized geometry, DFT PBE; values from VASP
! Formation energy from the elements ... 200 meV/atom
! Fermi-level density of states ... 6.3 states/eV/cell
! Density ... 16.519 g/cm³
&SYSTEM
  ibrav = 0, nat = 4, ntyp = 3
/
ATOMIC_SPECIES
Li 6.94 Li.upf
Os 190.23 Os.upf
Pu 244.00 Pu.upf
ATOMIC_POSITIONS crystal
Li 0.500 0.500 0.500
Os 0.000 0.000 0.500
Os 0.000 0.500 0.000
Pu 0.500 0.000 0.000
CELL_PARAMETERS angstrom
3.880 0.000 0.000
0.000 4.045 0.000
0.000 0.000 4.045

***

Entry 4:
! LaBeHg2Au, optimized geometry, DFT PBE; values from VASP
! Formation energy from the elements ... -252 meV/atom
! Fermi-level density of states ... 3.2 states/eV/cell
! Density ... 11.146 g/cm³
&SYSTEM
  ibrav = 0, nat = 5, ntyp = 4
/
ATOMIC_SPECIES
Be 9.01 Be.upf
Au 196.97 Au.upf
Hg 200.59 Hg.upf
La 138.91 La.upf
ATOMIC_POSITIONS crystal
Be 0.000 0.000 0.000
Au 0.000 0.000 0.500
Hg 0.000 0.500 0.000
Hg 0.500 0.000 0.000
La 0.500 0.500 0.500
CELL_PARAMETERS angstrom
-0.782 -4.133 2.362
0.981 -2.482 -4.019
4.611 -0.169 1.230

***

Entry 5:
! Ho3SnTe, optimized geometry, DFT PBE; values from VASP
! ΔE_f (raw) ... -0.6675 eV/atom
! Fermi-level density of states ... 13.5 states/eV/cell
! Density ... 7.155 g/cm³
&SYSTEM
  ibrav = 0, nat = 10, ntyp = 3
/
ATOMIC_SPECIES
Ho 164.93 Ho.upf
Sn 118.71 Sn.upf
Te 127.60 Te.upf
ATOMIC_POSITIONS crystal
Ho 0.085 0.169 0.136
Ho 0.915 0.831 0.864
Ho 0.701 0.402 0.863
Ho 0.299 0.598 0.137
Ho 0.822 0.643 0.496
Ho 0.178 0.357 0.504
Sn 0.315 0.630 0.753
Sn 0.685 0.370 0.247
Te 0.079 0.158 0.792
Te 0.921 0.842 0.208
CELL_PARAMETERS angstrom
-2.239 -0.268 3.741
1.663 -8.913 -2.193
7.458 -0.048 4.460

***

Entry 6:
! YTiSb2, optimized geometry, DFT PBE; values from VASP
! ΔE_f (raw) ... -0.7120 eV/atom
! Fermi-level density of states ... 2.5 states/eV/cell
! E above lowest polymorph ... 0.0 meV/atom
! Density ... 6.163 g/cm³
&SYSTEM
  ibrav = 0, nat = 4, ntyp = 3
/
ATOMIC_SPECIES
Y 88.91 Y.upf
Sb 121.76 Sb.upf
Ti 47.87 Ti.upf
ATOMIC_POSITIONS crystal
Y 0.500 0.500 0.500
Sb 0.260 0.260 0.221
Sb 0.740 0.740 0.779
Ti 0.000 0.000 0.000
CELL_PARAMETERS angstrom
-2.672 0.719 3.097
-1.412 -3.157 2.299
3.888 0.001 6.140

***

Entry 7:
! Os2RhBr, optimized geometry, DFT PBE; values from VASP
! ΔE_f (raw) ... 1.0698 eV/atom
! Fermi-level density of states ... 4.6 states/eV/cell
! E above lowest polymorph ... 460.3 meV/atom
! Density ... 15.067 g/cm³
&SYSTEM
  ibrav = 0, nat = 4, ntyp = 3
/
ATOMIC_SPECIES
Rh 102.91 Rh.upf
Os 190.23 Os.upf
Br 79.90 Br.upf
ATOMIC_POSITIONS crystal
Rh 0.750 0.250 0.500
Os 0.029 0.029 0.000
Os 0.471 0.471 0.000
Br 0.250 0.750 0.500
CELL_PARAMETERS angstrom
-0.018 4.586 -3.125
-3.899 1.083 -3.797
1.427 -0.992 5.270

***

Entry 8:
! V2Ga2H, optimized geometry, DFT PBE; values from VASP
! Fermi-level density of states ... 9.8 states/eV/cell
! E above lowest polymorph ... 167.0 meV/atom
! Density ... 6.316 g/cm³
&SYSTEM
  ibrav = 0, nat = 10, ntyp = 3
/
ATOMIC_SPECIES
H 1.01 H.upf
Ga 69.72 Ga.upf
V 50.94 V.upf
ATOMIC_POSITIONS crystal
H 0.000 0.000 0.000
H 0.500 0.500 0.000
Ga 0.165 0.665 0.500
Ga 0.665 0.835 0.500
Ga 0.835 0.335 0.500
Ga 0.335 0.165 0.500
V 0.345 0.845 0.000
V 0.845 0.655 0.000
V 0.655 0.155 0.000
V 0.155 0.345 0.000
CELL_PARAMETERS angstrom
-0.018 -1.003 5.310
5.395 -0.306 -0.040
0.249 4.280 0.809

***

Entry 9:
! Ac2AsN2, optimized geometry, DFT PBE; values from VASP
! ΔE_f (raw) ... -0.9403 eV/atom
! Fermi-level density of states ... 0.8 states/eV/cell
! E above lowest polymorph ... 97.3 meV/atom
! Density ... 7.911 g/cm³
&SYSTEM
  ibrav = 0, nat = 5, ntyp = 3
/
ATOMIC_SPECIES
Ac 227.00 Ac.upf
As 74.92 As.upf
N 14.01 N.upf
ATOMIC_POSITIONS crystal
Ac 0.777 0.277 0.266
Ac 0.223 0.723 0.734
As 0.500 0.000 0.000
N 0.927 0.427 0.574
N 0.073 0.573 0.426
CELL_PARAMETERS angstrom
-2.284 0.373 -3.604
-3.322 -2.625 -0.651
-5.726 4.257 2.308

***

Entry 10:
! YNi3P2, optimized geometry, DFT PBE; values from VASP
! Formation energy from the elements ... -881 meV/atom
! Fermi-level density of states ... 8.8 states/eV/cell
! E above lowest polymorph ... 46.3 meV/atom
! Density ... 6.583 g/cm³
&SYSTEM
  ibrav = 0, nat = 12, ntyp = 3
/
ATOMIC_SPECIES
Y 88.91 Y.upf
Ni 58.69 Ni.upf
P 30.97 P.upf
ATOMIC_POSITIONS crystal
Y 0.846 0.691 0.931
Y 0.154 0.309 0.069
Ni 0.317 0.633 0.565
Ni 0.957 0.915 0.634
Ni 0.598 0.196 0.686
Ni 0.402 0.804 0.314
Ni 0.043 0.085 0.366
Ni 0.683 0.367 0.435
P 0.481 0.962 0.822
P 0.519 0.038 0.178
P 0.812 0.623 0.324
P 0.188 0.377 0.676
CELL_PARAMETERS angstrom
3.751 0.000 0.000
-1.875 7.085 0.184
0.000 -3.040 6.127

***

Entry 11:
! CeAuC, optimized geometry, DFT PBE; values from VASP
! Formation energy from the elements ... 241 meV/atom
! Fermi-level density of states ... 4.3 states/eV/cell
! Density ... 10.366 g/cm³
&SYSTEM
  ibrav = 0, nat = 6, ntyp = 3
/
ATOMIC_SPECIES
Ce 140.12 Ce.upf
Au 196.97 Au.upf
C 12.01 C.upf
ATOMIC_POSITIONS crystal
Ce 0.250 0.917 0.166
Ce 0.750 0.083 0.834
Au 0.250 0.245 0.510
Au 0.750 0.755 0.490
C 0.250 0.554 0.892
C 0.750 0.446 0.108
CELL_PARAMETERS angstrom
3.771 0.000 0.000
0.000 3.521 0.000
0.000 1.761 8.423

***

Entry 12:
! AsRuN2, optimized geometry, DFT PBE; values from VASP
! ΔE_f (raw) ... 0.6381 eV/atom
! Fermi-level density of states ... 2.7 states/eV/cell
! Density ... 7.625 g/cm³
&SYSTEM
  ibrav = 0, nat = 4, ntyp = 3
/
ATOMIC_SPECIES
Ru 101.07 Ru.upf
As 74.92 As.upf
N 14.01 N.upf
ATOMIC_POSITIONS crystal
Ru 0.000 0.000 0.000
As 0.500 0.500 0.500
N 0.892 0.892 0.892
N 0.108 0.108 0.108
CELL_PARAMETERS angstrom
-6.120 1.406 -1.281
-6.305 -0.143 1.140
-5.688 2.666 1.271